<1>
Density functional theory data (PBE-GGA) for BaCa2HgPd after structural relaxation.

Properties
Its volume is 38.4 Å³ per atom. The value obtained for the magnetic moment is 0.00 μB per cell.

The structure in CIF format:
```
data_BaCa2HgPd
_symmetry_space_group_name_H-M 'P 4/m m m'
_symmetry_Int_Tables_number 123
_symmetry_space_group_name_Hall '-P 4 2'
_cell_length_a 5.5892
_cell_length_b 5.5892
_cell_length_c 6.1525
_cell_angle_alpha 90.00
_cell_angle_beta 90.00
_cell_angle_gamma 90.00
loop_
_atom_site_label
_atom_site_type_symbol
_atom_site_fract_x
_atom_site_fract_y
_atom_site_fract_z
Ba1 Ba 0.0000 0.0000 0.0000
Ca1 Ca 0.0000 0.5000 0.5000
Hg1 Hg 0.5000 0.5000 0.0000
Pd1 Pd 0.0000 0.0000 0.5000
```

<2>
Density functional theory data (PBE-GGA) for BaCa2HgPd after structural relaxation.

Properties
Its volume is 33.9 Å³ per atom. The value obtained for the magnetic moment is 0.00 μB per cell.

The structure in CIF format:
```
data_BaCa2HgPd
_symmetry_space_group_name_H-M 'P 4/m m m'
_symmetry_Int_Tables_number 123
_symmetry_space_group_name_Hall '-P 4 2'
_cell_length_a 5.5271
_cell_length_b 5.5271
_cell_length_c 5.5504
_cell_angle_alpha 90.00
_cell_angle_beta 90.00
_cell_angle_gamma 90.00
loop_
_atom_site_label
_atom_site_type_symbol
_atom_site_fract_x
_atom_site_fract_y
_atom_site_fract_z
Ba1 Ba 0.0000 0.0000 0.0000
Ca1 Ca 0.0000 0.5000 0.5000
Hg1 Hg 0.5000 0.5000 0.0000
Pd1 Pd 0.5000 0.5000 0.5000
```

Most stable pick: <1>. Distance to second place: 0.022 eV/atom.

<1>
Density functional theory data (PBE-GGA) for Ba2CaHgPd after structural relaxation.

Properties
Its volume is 42.8 Å³ per atom. The value obtained for the magnetic moment is 0.00 μB per cell.

The structure in CIF format:
```
data_Ba2CaHgPd
_symmetry_space_group_name_H-M 'P 4/m m m'
_symmetry_Int_Tables_number 123
_symmetry_space_group_name_Hall '-P 4 2'
_cell_length_a 6.2184
_cell_length_b 6.2184
_cell_length_c 5.5404
_cell_angle_alpha 90.00
_cell_angle_beta 90.00
_cell_angle_gamma 90.00
loop_
_atom_site_label
_atom_site_type_symbol
_atom_site_fract_x
_atom_site_fract_y
_atom_site_fract_z
Ba1 Ba 0.0000 0.5000 0.0000
Ca1 Ca 0.0000 0.0000 0.5000
Hg1 Hg 0.5000 0.5000 0.5000
Pd1 Pd 0.0000 0.0000 0.0000
```

<2>
Density functional theory data (PBE-GGA) for Ba2CaHgPd after structural relaxation.

Properties
Its volume is 47.9 Å³ per atom. The value obtained for the magnetic moment is 0.00 μB per cell.

The structure in CIF format:
```
data_Ba2CaHgPd
_symmetry_space_group_name_H-M 'P 4/m m m'
_symmetry_Int_Tables_number 123
_symmetry_space_group_name_Hall '-P 4 2'
_cell_length_a 6.6851
_cell_length_b 6.6851
_cell_length_c 5.3612
_cell_angle_alpha 90.00
_cell_angle_beta 90.00
_cell_angle_gamma 90.00
loop_
_atom_site_label
_atom_site_type_symbol
_atom_site_fract_x
_atom_site_fract_y
_atom_site_fract_z
Ba1 Ba 0.0000 0.5000 0.0000
Ca1 Ca 0.0000 0.0000 0.0000
Hg1 Hg 0.0000 0.0000 0.5000
Pd1 Pd 0.5000 0.5000 0.5000
```

Most stable pick: <1>. Distance to second place: 0.924 eV/atom.

<1>
Density functional theory data (PBE-GGA) for BaCa2HgRh after structural relaxation.

Properties
Its volume is 36.4 Å³ per atom. The value obtained for the magnetic moment is 0.00 μB per cell.

The structure in CIF format:
```
data_BaCa2HgRh
_symmetry_space_group_name_H-M 'P 4/m m m'
_symmetry_Int_Tables_number 123
_symmetry_space_group_name_Hall '-P 4 2'
_cell_length_a 5.4865
_cell_length_b 5.4865
_cell_length_c 6.0439
_cell_angle_alpha 90.00
_cell_angle_beta 90.00
_cell_angle_gamma 90.00
loop_
_atom_site_label
_atom_site_type_symbol
_atom_site_fract_x
_atom_site_fract_y
_atom_site_fract_z
Ba1 Ba 0.0000 0.0000 0.0000
Ca1 Ca 0.0000 0.5000 0.5000
Hg1 Hg 0.5000 0.5000 0.0000
Rh1 Rh 0.0000 0.0000 0.5000
```

<2>
Density functional theory data (PBE-GGA) for BaCa2HgRh after structural relaxation.

Properties
Its volume is 32.8 Å³ per atom. The value obtained for the magnetic moment is 0.00 μB per cell.

The structure in CIF format:
```
data_BaCa2HgRh
_symmetry_space_group_name_H-M 'P 4/m m m'
_symmetry_Int_Tables_number 123
_symmetry_space_group_name_Hall '-P 4 2'
_cell_length_a 5.4199
_cell_length_b 5.4199
_cell_length_c 5.5827
_cell_angle_alpha 90.00
_cell_angle_beta 90.00
_cell_angle_gamma 90.00
loop_
_atom_site_label
_atom_site_type_symbol
_atom_site_fract_x
_atom_site_fract_y
_atom_site_fract_z
Ba1 Ba 0.0000 0.0000 0.0000
Ca1 Ca 0.0000 0.5000 0.5000
Hg1 Hg 0.5000 0.5000 0.0000
Rh1 Rh 0.5000 0.5000 0.5000
```

Most stable pick: <1>. Distance to second place: 0.011 eV/atom.

<1>
Density functional theory data (PBE-GGA) for BaSr2CaHg after structural relaxation.

Properties
Its volume is 49.8 Å³ per atom. The value obtained for the magnetic moment is 0.00 μB per cell.

The structure in CIF format:
```
data_BaSr2CaHg
_symmetry_space_group_name_H-M 'P 4/m m m'
_symmetry_Int_Tables_number 123
_symmetry_space_group_name_Hall '-P 4 2'
_cell_length_a 6.3770
_cell_length_b 6.3770
_cell_length_c 6.1222
_cell_angle_alpha 90.00
_cell_angle_beta 90.00
_cell_angle_gamma 90.00
loop_
_atom_site_label
_atom_site_type_symbol
_atom_site_fract_x
_atom_site_fract_y
_atom_site_fract_z
Ba1 Ba 0.0000 0.0000 0.0000
Sr1 Sr 0.0000 0.5000 0.5000
Ca1 Ca 0.5000 0.5000 0.0000
Hg1 Hg 0.5000 0.5000 0.5000
```

<2>
Density functional theory data (PBE-GGA) for BaSr2CaHg after structural relaxation.

Properties
Its volume is 52.9 Å³ per atom. The value obtained for the magnetic moment is 0.00 μB per cell.

The structure in CIF format:
```
data_BaSr2CaHg
_symmetry_space_group_name_H-M 'P 4/m m m'
_symmetry_Int_Tables_number 123
_symmetry_space_group_name_Hall '-P 4 2'
_cell_length_a 6.3853
_cell_length_b 6.3853
_cell_length_c 6.4859
_cell_angle_alpha 90.00
_cell_angle_beta 90.00
_cell_angle_gamma 90.00
loop_
_atom_site_label
_atom_site_type_symbol
_atom_site_fract_x
_atom_site_fract_y
_atom_site_fract_z
Ba1 Ba 0.0000 0.0000 0.0000
Sr1 Sr 0.0000 0.5000 0.5000
Ca1 Ca 0.5000 0.5000 0.0000
Hg1 Hg 0.0000 0.0000 0.5000
```

Most stable pick: <1>. Distance to second place: 0.073 eV/atom.